First-principles (PBE-GGA) data for a relaxed structure of KCdAs2Pb, as listed in Alexandria.

abc: 8.660 8.660 11.266
angles: 127.41 127.41 30.27
Atoms (fractional coordinates):
K: 0.192 0.192 0.121
K: 0.808 0.808 0.879
Cd: 0.059 0.059 0.685
Cd: 0.941 0.941 0.315
As: 0.172 0.172 0.580
As: 0.417 0.417 0.166
As: 0.583 0.583 0.834
As: 0.828 0.828 0.420
Pb: 0.368 0.368 0.608
Pb: 0.632 0.632 0.392

Results
* spin magnetization: 0.0 μB per formula unit
* total energy: -3.19 eV/atom
* Fermi-level density of states: 4.1 states/eV/cell
* calculated formation energy: -89 kJ/mol of formula units